[1]
Nb2TeSe after structural relaxation. Source: Alexandria via LeMat-Bulk, functional PBE-GGA.

a = 4.8492 Å, b = 4.8492 Å, c = 16.3743 Å
α = 90.00°, β = 90.00°, γ = 90.00°
With the nearest neighbours (Å) after each atom.
Space group I-42d (No. 122)
Unique sites:
Nb 0.1900 0.2500 0.1250 [8 per cell]  2 Se 2.55, 2 Te 2.81
Te 0.0000 0.0000 0.5000 [4 per cell]  4 Nb 2.81
Se 0.0000 0.0000 0.0000 [4 per cell]  4 Nb 2.55

Results
The calculated density comes out at 6.77 g/cm³. Its uncorrected formation energy is 0.13 eV/atom.

[2]
NbTe2Se after structural relaxation. Source: Alexandria via LeMat-Bulk, functional PBE-GGA.

a = 9.0021 Å, b = 3.7835 Å, c = 6.1778 Å
α = 90.00°, β = 92.77°, γ = 90.00°
With the nearest neighbours (Å) after each atom.
Space group P2/c (No. 13)
Unique sites:
Nb 0.0000 0.2451 0.2500 [2 per cell]  6 Te 2.79-2.84
Te 0.2045 0.2452 0.9251 [4 per cell]  3 Nb 2.79-2.84, 1 Se 2.83
Se 0.5000 0.0000 0.0000 [2 per cell]  2 Te 2.83, 2 Se 3.09

Results
The calculated density comes out at 6.75 g/cm³. Its uncorrected formation energy is -0.14 eV/atom.

[3]
NbTe2Se2 after structural relaxation. Source: Alexandria via LeMat-Bulk, functional PBE-GGA.

a = 6.0794 Å, b = 13.2275 Å, c = 8.0279 Å
α = 90.00°, β = 107.30°, γ = 90.00°
With the nearest neighbours (Å) after each atom.
Space group C2/m (No. 12)
Unique sites:
Nb 0.0000 0.1174 0.0000 [4 per cell]  4 Se 2.65-2.69, 2 Te 2.90
Te 0.2144 0.2328 0.7708 [8 per cell]  2 Nb 2.90-2.97, 2 Te 3.07
Se 0.1076 0.0000 0.2863 [4 per cell]  1 Se 2.35
Se 0.1337 0.5000 0.8810 [4 per cell]  1 Se 2.35

Results
The calculated density comes out at 5.45 g/cm³. Its uncorrected formation energy is -0.38 eV/atom.